A geometry-optimized Sb2TeAsRu structure. Source: the Alexandria database, functional GGA-PBE.

Cell lengths 5.4594, 4.6168, 5.4594 Å; angles 90.00, 90.00, 90.00 degrees
Last column: nearest neighbours and their distance in Å.
Element x y z (fractional)
Ru (0.0000, 0.5000, 0.0000)  2 As 2.31
As (0.0000, 0.0000, 0.0000)  2 Ru 2.31
Sb (0.5000, 0.0000, 0.0000)  2 As 2.73
Sb (0.0000, 0.0000, 0.5000)  2 As 2.73
Te (0.5000, 0.5000, 0.5000)  8 Sb 3.57, 4 Ru 3.86

Calculated values
- density of states at the Fermi level (states/eV per cell) = 4.490
- E_tot (eV for the cell shown) = -21.41
- calculated volume (Å³/cell) = 137.6
- SG = P4/mmm, No. 123
- energy above the most stable polymorph in this dataset (eV per atom) = 0.217
- raw formation energy (eV/atom) = 0.781


A geometry-optimized ScAs2Ru structure. Source: the Alexandria database, functional GGA-PBE.

Cell lengths 8.6055, 8.6055, 8.6055 Å; angles 21.27, 21.27, 21.27 degrees
Last column: nearest neighbours and their distance in Å.
Element x y z (fractional)
As (0.0027, 0.0027, 0.0027)  3 Sc 2.81, 3 As 3.08
As (0.2378, 0.2378, 0.2378)  3 Ru 2.47
Sc (0.7541, 0.7541, 0.7541)  3 Ru 2.81, 3 As 2.81
Ru (0.5054, 0.5054, 0.5054)  3 As 2.47

Calculated values
- density of states at the Fermi level (states/eV per cell) = 1.359
- E_tot (eV for the cell shown) = -25.80
- calculated volume (Å³/cell) = 73.5
- SG = R3m, No. 160
- energy above the most stable polymorph in this dataset (eV per atom) = 0.395


A geometry-optimized ScAs3Ru structure. Source: the Alexandria database, functional GGA-PBE.

Cell lengths 4.7990, 4.7990, 4.7990 Å; angles 90.00, 90.00, 90.00 degrees
Last column: nearest neighbours and their distance in Å.
Element x y z (fractional)
As (0.0000, 0.0000, 0.5000)  2 Ru 2.40
As (0.5000, 0.0000, 0.0000)  2 Ru 2.40
As (0.0000, 0.5000, 0.0000)  2 Ru 2.40
Ru (0.0000, 0.0000, 0.0000)  6 As 2.40
Sc (0.5000, 0.5000, 0.5000)  12 As 3.39

Calculated values
- density of states at the Fermi level (states/eV per cell) = 6.614
- E_tot (eV for the cell shown) = -28.40
- calculated volume (Å³/cell) = 110.5
- SG = Pm-3m, No. 221
- energy above the most stable polymorph in this dataset (eV per atom) = 0.000